# 1
# W3N2, relaxed, DFT PBE-GGA
# ΔE to the lowest computed polymorph: 4.70 kcal/mol of atoms
data_W3N2
_symmetry_space_group_name_H-M 'R -3 c'
_symmetry_Int_Tables_number 167
_symmetry_space_group_name_Hall '-R 3 2"c'
_cell_length_a 5.0394
_cell_length_b 5.0394
_cell_length_c 15.8054
_cell_angle_alpha 90.00
_cell_angle_beta 90.00
_cell_angle_gamma 120.00
loop_
_atom_site_label
_atom_site_type_symbol
_atom_site_fract_x
_atom_site_fract_y
_atom_site_fract_z
W1 W 0.0000 0.3391 0.2500
N1 N 0.0000 0.0000 0.1640

# 2
# TlInPdSe3, relaxed, DFT PBE-GGA
# ΔE to the lowest computed polymorph: 0.07 kcal/mol of atoms
data_TlInPdSe3
_symmetry_space_group_name_H-M 'P n m a'
_symmetry_Int_Tables_number 62
_symmetry_space_group_name_Hall '-P 2ac 2n'
_cell_length_a 14.9333
_cell_length_b 3.9129
_cell_length_c 10.7787
_cell_angle_alpha 90.00
_cell_angle_beta 90.00
_cell_angle_gamma 90.00
loop_
_atom_site_label
_atom_site_type_symbol
_atom_site_fract_x
_atom_site_fract_y
_atom_site_fract_z
Tl1 Tl 0.2401 0.2500 0.0475
In1 In 0.0406 0.2500 0.3608
Pd1 Pd 0.0057 0.7500 0.1173
Se1 Se 0.0895 0.2500 0.6047
Se2 Se 0.0952 0.7500 0.9197
Se3 Se 0.1469 0.7500 0.2615

# 3
# SrAcZr, relaxed, DFT PBE-GGA
# Final energy: -10.7 eV/f.u.
data_SrAcZr
_symmetry_space_group_name_H-M 'F -4 3 m'
_symmetry_Int_Tables_number 216
_symmetry_space_group_name_Hall 'F -4 2 3'
_cell_length_a 8.0356
_cell_length_b 8.0356
_cell_length_c 8.0356
_cell_angle_alpha 90.00
_cell_angle_beta 90.00
_cell_angle_gamma 90.00
loop_
_atom_site_label
_atom_site_type_symbol
_atom_site_fract_x
_atom_site_fract_y
_atom_site_fract_z
Sr1 Sr 0.0000 0.0000 0.0000
Ac1 Ac 0.2500 0.2500 0.2500
Zr1 Zr 0.0000 0.0000 0.5000

# 4
# TbHoCu2Bi4, relaxed, DFT PBE-GGA
# Final energy: -36.1 eV/f.u.
data_TbHoCu2Bi4
_symmetry_space_group_name_H-M 'P 4 m m'
_symmetry_Int_Tables_number 99
_symmetry_space_group_name_Hall 'P 4 -2'
_cell_length_a 4.5392
_cell_length_b 4.5392
_cell_length_c 9.6133
_cell_angle_alpha 90.00
_cell_angle_beta 90.00
_cell_angle_gamma 90.00
loop_
_atom_site_label
_atom_site_type_symbol
_atom_site_fract_x
_atom_site_fract_y
_atom_site_fract_z
Tb1 Tb 0.0000 0.0000 0.0000
Ho1 Ho 0.5000 0.5000 0.5299
Cu1 Cu 0.0000 0.5000 0.7628
Bi1 Bi 0.0000 0.0000 0.5957
Bi2 Bi 0.0000 0.5000 0.2657
Bi3 Bi 0.5000 0.5000 0.9309

# 5
# KTbU, relaxed, DFT PBE-GGA
# ΔE to the lowest computed polymorph: 0.00 kcal/mol of atoms
data_KTbU
_symmetry_space_group_name_H-M 'F -4 3 m'
_symmetry_Int_Tables_number 216
_symmetry_space_group_name_Hall 'F -4 2 3'
_cell_length_a 8.1627
_cell_length_b 8.1627
_cell_length_c 8.1627
_cell_angle_alpha 90.00
_cell_angle_beta 90.00
_cell_angle_gamma 90.00
loop_
_atom_site_label
_atom_site_type_symbol
_atom_site_fract_x
_atom_site_fract_y
_atom_site_fract_z
K1 K 0.0000 0.0000 0.0000
Tb1 Tb 0.0000 0.0000 0.5000
U1 U 0.2500 0.2500 0.2500

# 6
# BaPIrO, relaxed, DFT PBE-GGA
# ΔE to the lowest computed polymorph: 39.77 kcal/mol of atoms
data_BaPIrO
_symmetry_space_group_name_H-M 'P 4/n m m'
_symmetry_Int_Tables_number 129
_cell_length_a 4.5457
_cell_length_b 4.5457
_cell_length_c 7.2745
_cell_angle_alpha 90.00
_cell_angle_beta 90.00
_cell_angle_gamma 90.00
loop_
_symmetry_equiv_pos_as_xyz
'x,y,z'
'-x,-y,-z'
'-y+1/2,x,z'
'y+1/2,-x,-z'
'-x+1/2,-y+1/2,z'
'x+1/2,y+1/2,-z'
'y,-x+1/2,z'
'-y,x+1/2,-z'
'x+1/2,-y,-z'
'-x+1/2,y,z'
'-y,-x,-z'
'y,x,z'
'-x,y+1/2,-z'
'x,-y+1/2,z'
'y+1/2,x+1/2,-z'
'-y+1/2,-x+1/2,z'
loop_
_atom_site_label
_atom_site_type_symbol
_atom_site_fract_x
_atom_site_fract_y
_atom_site_fract_z
Ba1 Ba 0.2500 0.7500 0.0000
P1 P 0.2500 0.2500 0.2905
Ir1 Ir 0.2500 0.2500 0.5915
O1 O 0.2500 0.7500 0.5000

# 7
# Mg2FeCu5, relaxed, DFT PBE-GGA
# Final energy: -29.5 eV/f.u.
data_Mg2FeCu5
_symmetry_space_group_name_H-M 'P 4/m m m'
_symmetry_Int_Tables_number 123
_symmetry_space_group_name_Hall '-P 4 2'
_cell_length_a 4.1665
_cell_length_b 4.1665
_cell_length_c 5.9173
_cell_angle_alpha 90.00
_cell_angle_beta 90.00
_cell_angle_gamma 90.00
loop_
_atom_site_label
_atom_site_type_symbol
_atom_site_fract_x
_atom_site_fract_y
_atom_site_fract_z
Mg1 Mg 0.0000 0.0000 0.0000
Mg2 Mg 0.5000 0.5000 0.5000
Fe1 Fe 0.0000 0.0000 0.5000
Cu1 Cu 0.0000 0.5000 0.2566
Cu2 Cu 0.5000 0.5000 0.0000

# 8
# PtF6, relaxed, DFT PBE-GGA
# Final energy: -24.0 eV/f.u.
data_PtF6
_symmetry_space_group_name_H-M 'P m n 21'
_symmetry_Int_Tables_number 31
_symmetry_space_group_name_Hall 'P 2ac -2'
_cell_length_a 7.7985
_cell_length_b 8.4710
_cell_length_c 4.5097
_cell_angle_alpha 90.00
_cell_angle_beta 90.00
_cell_angle_gamma 90.00
loop_
_atom_site_label
_atom_site_type_symbol
_atom_site_fract_x
_atom_site_fract_y
_atom_site_fract_z
Pt1 Pt 0.0000 0.1242 0.0000
Pt2 Pt 0.0000 0.6249 0.6702
F1 F 0.0000 0.2525 0.3406
F2 F 0.0000 0.4985 0.0134
F3 F 0.0000 0.7523 0.3282
F4 F 0.0000 0.9954 0.6585
F5 F 0.1705 0.2531 0.8301
F6 F 0.1701 0.4958 0.5018
F7 F 0.1703 0.7535 0.8408
F8 F 0.1704 0.9953 0.1695

# 9
# YLuPt2, relaxed, DFT PBE-GGA
# ΔE to the lowest computed polymorph: 0.12 kcal/mol of atoms
# Formation energy: -5.2 eV per formula unit
data_YLuPt2
_symmetry_space_group_name_H-M 'P 1 21/m 1'
_symmetry_Int_Tables_number 11
_symmetry_space_group_name_Hall '-P 2yb'
_cell_length_a 5.5337
_cell_length_b 4.4756
_cell_length_c 6.9563
_cell_angle_alpha 90.00
_cell_angle_beta 90.96
_cell_angle_gamma 90.00
loop_
_atom_site_label
_atom_site_type_symbol
_atom_site_fract_x
_atom_site_fract_y
_atom_site_fract_z
Y1 Y 0.1424 0.2500 0.1831
Lu1 Lu 0.3597 0.2500 0.6803
Pt1 Pt 0.1614 0.7500 0.4613
Pt2 Pt 0.3485 0.7500 0.9522

# 10
# SmMgCd, relaxed, DFT PBE-GGA
# Final energy: -6.2 eV/f.u.
data_SmMgCd
_symmetry_space_group_name_H-M 'F -4 3 m'
_symmetry_Int_Tables_number 216
_symmetry_space_group_name_Hall 'F -4 2 3'
_cell_length_a 7.1929
_cell_length_b 7.1929
_cell_length_c 7.1929
_cell_angle_alpha 90.00
_cell_angle_beta 90.00
_cell_angle_gamma 90.00
loop_
_atom_site_label
_atom_site_type_symbol
_atom_site_fract_x
_atom_site_fract_y
_atom_site_fract_z
Sm1 Sm 0.0000 0.0000 0.0000
Mg1 Mg 0.2500 0.2500 0.2500
Cd1 Cd 0.2500 0.2500 0.7500

# 11
# Cu2Ag3, relaxed, DFT PBE-GGA
# ΔE to the lowest computed polymorph: 0.98 kcal/mol of atoms
# Formation energy: 0.4 eV per formula unit
data_Cu2Ag3
_symmetry_space_group_name_H-M 'C 1 2/m 1'
_symmetry_Int_Tables_number 12
_symmetry_space_group_name_Hall '-C 2y'
_cell_length_a 19.1410
_cell_length_b 2.8755
_cell_length_c 5.7296
_cell_angle_alpha 90.00
_cell_angle_beta 98.73
_cell_angle_gamma 90.00
loop_
_atom_site_label
_atom_site_type_symbol
_atom_site_fract_x
_atom_site_fract_y
_atom_site_fract_z
Cu1 Cu 0.0000 0.0000 0.0000
Cu2 Cu 0.0000 0.0000 0.5000
Cu3 Cu 0.0855 0.5000 0.2925
Ag1 Ag 0.0891 0.5000 0.7958
Ag2 Ag 0.1926 0.0000 0.5887
Ag3 Ag 0.1943 0.0000 0.1038

# 12
# HoHfTe, relaxed, DFT PBE-GGA
# ΔE to the lowest computed polymorph: 0.00 kcal/mol of atoms
data_HoHfTe
_symmetry_space_group_name_H-M 'F -4 3 m'
_symmetry_Int_Tables_number 216
_symmetry_space_group_name_Hall 'F -4 2 3'
_cell_length_a 6.8774
_cell_length_b 6.8774
_cell_length_c 6.8774
_cell_angle_alpha 90.00
_cell_angle_beta 90.00
_cell_angle_gamma 90.00
loop_
_atom_site_label
_atom_site_type_symbol
_atom_site_fract_x
_atom_site_fract_y
_atom_site_fract_z
Ho1 Ho 0.0000 0.0000 0.0000
Hf1 Hf 0.0000 0.0000 0.5000
Te1 Te 0.2500 0.2500 0.7500

# 13
# LiLuGaPd, relaxed, DFT PBE-GGA
# ΔE to the lowest computed polymorph: 2.07 kcal/mol of atoms
data_LiLuGaPd
_symmetry_space_group_name_H-M 'F -4 3 m'
_symmetry_Int_Tables_number 216
_symmetry_space_group_name_Hall 'F -4 2 3'
_cell_length_a 6.6178
_cell_length_b 6.6178
_cell_length_c 6.6178
_cell_angle_alpha 90.00
_cell_angle_beta 90.00
_cell_angle_gamma 90.00
loop_
_atom_site_label
_atom_site_type_symbol
_atom_site_fract_x
_atom_site_fract_y
_atom_site_fract_z
Li1 Li 0.0000 0.0000 0.0000
Lu1 Lu 0.0000 0.0000 0.5000
Ga1 Ga 0.2500 0.2500 0.2500
Pd1 Pd 0.2500 0.2500 0.7500

# 14
# LuHfPb, relaxed, DFT PBE-GGA
# ΔE to the lowest computed polymorph: 0.00 kcal/mol of atoms
data_LuHfPb
_symmetry_space_group_name_H-M 'F -4 3 m'
_symmetry_Int_Tables_number 216
_symmetry_space_group_name_Hall 'F -4 2 3'
_cell_length_a 7.1329
_cell_length_b 7.1329
_cell_length_c 7.1329
_cell_angle_alpha 90.00
_cell_angle_beta 90.00
_cell_angle_gamma 90.00
loop_
_atom_site_label
_atom_site_type_symbol
_atom_site_fract_x
_atom_site_fract_y
_atom_site_fract_z
Lu1 Lu 0.0000 0.0000 0.0000
Hf1 Hf 0.2500 0.2500 0.2500
Pb1 Pb 0.0000 0.0000 0.5000

# 15
# LiNdFeSe3, relaxed, DFT PBE-GGA
# Final energy: -31.8 eV/f.u.
data_LiNdFeSe3
_symmetry_space_group_name_H-M 'C m c m'
_symmetry_Int_Tables_number 63
_symmetry_space_group_name_Hall '-C 2c 2'
_cell_length_a 4.0589
_cell_length_b 12.8023
_cell_length_c 11.2114
_cell_angle_alpha 90.00
_cell_angle_beta 90.00
_cell_angle_gamma 90.00
loop_
_atom_site_label
_atom_site_type_symbol
_atom_site_fract_x
_atom_site_fract_y
_atom_site_fract_z
Li1 Li 0.0000 0.2186 0.2500
Nd1 Nd 0.0000 0.0000 0.0000
Fe1 Fe 0.0000 0.4781 0.7500
Se1 Se 0.0000 0.0891 0.7500
Se2 Se 0.0000 0.3532 0.5874

# 16
# GaCoMoPt, relaxed, DFT PBE-GGA
# ΔE to the lowest computed polymorph: 0.00 kcal/mol of atoms
data_GaCoMoPt
_symmetry_space_group_name_H-M 'F -4 3 m'
_symmetry_Int_Tables_number 216
_symmetry_space_group_name_Hall 'F -4 2 3'
_cell_length_a 6.0987
_cell_length_b 6.0987
_cell_length_c 6.0987
_cell_angle_alpha 90.00
_cell_angle_beta 90.00
_cell_angle_gamma 90.00
loop_
_atom_site_label
_atom_site_type_symbol
_atom_site_fract_x
_atom_site_fract_y
_atom_site_fract_z
Ga1 Ga 0.0000 0.0000 0.0000
Co1 Co 0.2500 0.2500 0.2500
Mo1 Mo 0.2500 0.2500 0.7500
Pt1 Pt 0.0000 0.0000 0.5000

# 17
# DyTm2Si4Ni4, relaxed, DFT PBE-GGA
# Final energy: -66.4 eV/f.u.
data_DyTm2Si4Ni4
_symmetry_space_group_name_H-M 'I m m m'
_symmetry_Int_Tables_number 71
_symmetry_space_group_name_Hall '-I 2 2'
_cell_length_a 3.9954
_cell_length_b 6.5596
_cell_length_c 13.1787
_cell_angle_alpha 90.00
_cell_angle_beta 90.00
_cell_angle_gamma 90.00
loop_
_atom_site_label
_atom_site_type_symbol
_atom_site_fract_x
_atom_site_fract_y
_atom_site_fract_z
Dy1 Dy 0.0000 0.0000 0.0000
Tm1 Tm 0.0000 0.5000 0.1284
Si1 Si 0.0000 0.0000 0.2186
Si2 Si 0.0000 0.1871 0.5000
Ni1 Ni 0.0000 0.3035 0.3229

# 18
# HfScGa4Ni2, relaxed, DFT PBE-GGA
# Final energy: -44.4 eV/f.u.
data_HfScGa4Ni2
_symmetry_space_group_name_H-M 'A m m 2'
_symmetry_Int_Tables_number 38
_symmetry_space_group_name_Hall 'A 2 -2'
_cell_length_a 6.4086
_cell_length_b 4.0513
_cell_length_c 9.5366
_cell_angle_alpha 90.00
_cell_angle_beta 90.00
_cell_angle_gamma 90.00
loop_
_atom_site_label
_atom_site_type_symbol
_atom_site_fract_x
_atom_site_fract_y
_atom_site_fract_z
Hf1 Hf 0.0000 0.0000 0.0000
Sc1 Sc 0.5000 0.0000 0.8524
Ga1 Ga 0.2010 0.0000 0.2908
Ga2 Ga 0.2986 0.0000 0.5606
Ni1 Ni 0.0000 0.0000 0.7186
Ni2 Ni 0.5000 0.0000 0.1331

# 19
# Sc4FeAsC2, relaxed, DFT PBE-GGA
# Final energy: -60.2 eV/f.u.
data_Sc4FeAsC2
_symmetry_space_group_name_H-M 'P -6 m 2'
_symmetry_Int_Tables_number 187
_symmetry_space_group_name_Hall 'P -6 2'
_cell_length_a 3.3091
_cell_length_b 3.3091
_cell_length_c 13.5049
_cell_angle_alpha 90.00
_cell_angle_beta 90.00
_cell_angle_gamma 120.00
loop_
_atom_site_label
_atom_site_type_symbol
_atom_site_fract_x
_atom_site_fract_y
_atom_site_fract_z
Sc1 Sc 0.0000 0.0000 0.1571
Sc2 Sc 0.3333 0.6667 0.3409
Fe1 Fe 0.0000 0.0000 0.5000
As1 As 0.3333 0.6667 0.0000
C1 C 0.6667 0.3333 0.2483

# 20
# Li2MoW, relaxed, DFT PBE-GGA
# Final energy: -25.2 eV/f.u.
data_Li2MoW
_symmetry_space_group_name_H-M 'F -4 3 m'
_symmetry_Int_Tables_number 216
_symmetry_space_group_name_Hall 'F -4 2 3'
_cell_length_a 6.1699
_cell_length_b 6.1699
_cell_length_c 6.1699
_cell_angle_alpha 90.00
_cell_angle_beta 90.00
_cell_angle_gamma 90.00
loop_
_atom_site_label
_atom_site_type_symbol
_atom_site_fract_x
_atom_site_fract_y
_atom_site_fract_z
Li1 Li 0.0000 0.0000 0.0000
Li2 Li 0.2500 0.2500 0.2500
Mo1 Mo 0.2500 0.2500 0.7500
W1 W 0.0000 0.0000 0.5000